a | Below is a geometry-optimized SmY6Sc3 structure, with properties calculated at the PBE level.

- Total magnetic moment: 0.000 μB/cell

Cell lengths 4.953, 10.962, 11.048 Å; angles 90.60, 90.00, 90.00 degrees
Element x y z (fractional)
Sm 0.750 0.050 0.402
Y 0.250 0.054 0.903
Sc 0.250 0.350 0.807
Y 0.750 0.737 0.493
Y 0.250 0.263 0.507
Sc 0.250 0.549 0.397
Y 0.250 0.639 0.698
Y 0.250 0.455 0.100
Sc 0.750 0.451 0.603
Y 0.750 0.847 0.799
Sm 0.250 0.950 0.598
Y 0.750 0.361 0.302
Y 0.750 0.161 0.707
Sc 0.750 0.650 0.193
Sc 0.250 0.747 0.997
Y 0.250 0.839 0.293
Y 0.750 0.946 0.097
Y 0.750 0.545 0.900
Y 0.250 0.153 0.201
Sc 0.750 0.253 0.003

***

b | Below is a geometry-optimized SmY6Sc3 structure, with properties calculated at the PBE level.

- Total magnetic moment: 0.000 μB/cell

Cell lengths 6.266, 10.719, 10.719 Å; angles 122.63, 90.00, 90.00 degrees
Element x y z (fractional)
Y 0.349 0.955 0.045
Y 0.530 0.636 0.704
Y 0.030 0.364 0.296
Sc 0.922 0.078 0.309
Y 0.358 0.565 0.969
Y 0.858 0.435 0.031
Y 0.358 0.031 0.435
Y 0.678 0.311 0.689
Sc 0.422 0.309 0.078
Y 0.530 0.296 0.364
Y 0.858 0.969 0.565
Sc 0.634 0.615 0.385
Sm 0.205 0.212 0.788
Y 0.030 0.704 0.636
Y 0.178 0.689 0.311
Sc 0.922 0.691 0.922
Y 0.849 0.045 0.955
Sc 0.422 0.922 0.691
Sm 0.705 0.788 0.212
Sc 0.134 0.385 0.615

***

a is preferred energetically. Next in line: 10.4 kJ/mol of atoms higher.

***

a | Below is a geometry-optimized Sm5Y2Sc2 structure, with properties calculated at the PBE level.

- Total magnetic moment: 0.000 μB/cell

Cell lengths 3.467, 11.660, 10.004 Å; angles 45.82, 80.02, 81.45 degrees
Element x y z (fractional)
Sm 0.000 0.000 0.000
Sm 0.663 0.016 0.658
Sm 0.337 0.984 0.342
Sm 0.781 0.647 0.792
Sc 0.599 0.650 0.153
Y 0.945 0.663 0.447
Sc 0.401 0.350 0.847
Y 0.055 0.337 0.553
Sm 0.219 0.353 0.208

***

b | Below is a geometry-optimized Sm5Y2Sc2 structure, with properties calculated at the PBE level.

- Total magnetic moment: 0.000 μB/cell

Cell lengths 10.140, 6.969, 10.215 Å; angles 109.95, 119.76, 90.00 degrees
Element x y z (fractional)
Sc 0.893 0.458 0.842
Sm 0.162 0.699 0.824
Y 0.500 0.537 0.000
Sm 0.399 0.436 0.296
Sm 0.171 0.787 0.500
Sm 0.397 0.936 0.296
Sc 0.551 0.116 0.158
Y 0.786 0.787 0.500
Sm 0.838 0.375 0.176
Sc 0.449 0.958 0.842
Sm 0.162 0.199 0.824
Sm 0.838 0.875 0.176
Sc 0.107 0.616 0.158
Y 0.214 0.287 0.500
Sm 0.829 0.287 0.500
Sm 0.601 0.140 0.704
Y 0.000 0.037 0.000
Sm 0.603 0.640 0.704

***

a is preferred energetically. Next in line: 12.6 kJ/mol of atoms higher.

***

a | Below is a geometry-optimized Sm3Y2Sc structure, with properties calculated at the PBE level.

- Total magnetic moment: 0.000 μB/cell

Cell lengths 7.120, 6.124, 11.789 Å; angles 110.11, 90.02, 125.53 degrees
Element x y z (fractional)
Sc 0.875 0.000 0.750
Sm 0.625 0.000 0.250
Y 0.794 0.338 0.588
Y 0.206 0.662 0.412
Y 0.456 0.662 0.913
Sc 0.125 0.000 0.250
Sm 0.041 0.332 0.082
Sm 0.709 0.668 0.418
Sm 0.959 0.668 0.918
Y 0.544 0.338 0.087
Sm 0.291 0.332 0.582
Sm 0.375 0.000 0.750

***

b | Below is a geometry-optimized Sm3Y2Sc structure, with properties calculated at the PBE level.

- Total magnetic moment: 0.000 μB/cell

Cell lengths 6.743, 6.788, 9.129 Å; angles 99.42, 111.67, 90.00 degrees
Element x y z (fractional)
Sm 0.266 0.750 0.000
Sc 0.739 0.750 0.000
Sm 0.915 0.974 0.711
Y 0.258 0.377 0.651
Sc 0.261 0.250 0.000
Sm 0.085 0.026 0.289
Sm 0.734 0.250 0.000
Sm 0.795 0.474 0.711
Y 0.606 0.123 0.349
Y 0.742 0.623 0.349
Y 0.394 0.877 0.651
Sm 0.205 0.526 0.289

***

a is preferred energetically. Next in line: 9.1 kJ/mol of atoms higher.

***

a | Below is a geometry-optimized SmY3Sc3 structure, with properties calculated at the PBE level.

- Total magnetic moment: 0.000 μB/cell

Cell lengths 8.484, 8.484, 8.484 Å; angles 59.19, 59.19, 59.19 degrees
Element x y z (fractional)
Sm 0.651 0.651 0.651
Sc 0.063 0.276 0.832
Y 0.432 0.933 0.278
Sc 0.276 0.832 0.063
Y 0.568 0.067 0.722
Y 0.067 0.722 0.568
Sm 0.349 0.349 0.349
Y 0.933 0.278 0.432
Sc 0.724 0.168 0.937
Sc 0.832 0.063 0.276
Sc 0.168 0.937 0.724
Y 0.722 0.568 0.067
Sc 0.937 0.724 0.168
Y 0.278 0.432 0.933

***

b | Below is a geometry-optimized SmY3Sc3 structure, with properties calculated at the PBE level.

- Total magnetic moment: 0.023 μB/cell

Cell lengths 5.482, 9.282, 9.282 Å; angles 120.00, 90.00, 90.00 degrees
Element x y z (fractional)
Sc 0.750 0.484 0.097
Sc 0.250 0.097 0.614
Y 0.250 0.804 0.755
Sc 0.750 0.903 0.386
Y 0.250 0.951 0.196
Sm 0.750 0.333 0.667
Sc 0.250 0.386 0.484
Sc 0.750 0.614 0.516
Sc 0.250 0.516 0.903
Y 0.250 0.245 0.049
Y 0.750 0.196 0.245
Y 0.750 0.755 0.951
Sm 0.250 0.667 0.333
Y 0.750 0.049 0.804

***

b is preferred energetically. Next in line: 14.4 kJ/mol of atoms higher.